Entry 1:
A plane-wave DFT calculation with PBE-GGA was carried out for crystalline In2TeRh at its relaxed geometry.

Cell: 4.2531 4.9350 5.7602 Å, 64.64 90.00 90.00°
Last column: nearest neighbours and their distance in Å.
Atoms (fractional coordinates):
In 0.5000 0.6428 0.7142  2 Rh 2.72
Rh 0.0000 0.4805 0.0386  4 In 2.58-2.72, 2 Te 2.69
Te 0.5000 0.3226 0.3558  2 Rh 2.69
In 0.0000 0.0541 0.8914  2 Rh 2.58

Values from the calculation:
The value obtained for the formation energy without anion corrections is -5.0 kcal/mol of atoms. The density of states at the Fermi level comes out at 0.4388 states/eV per atom. Its total energy is -16.83 eV/cell. The space group is Amm2, No. 38.

---

Entry 2:
A plane-wave DFT calculation with PBE-GGA was carried out for crystalline TlIn2TeRh at its relaxed geometry.

Cell: 5.2048 5.2048 5.2919 Å, 90.00 90.00 90.00°
Last column: nearest neighbours and their distance in Å.
Atoms (fractional coordinates):
Tl 0.0000 0.0000 0.5000  2 Rh 2.65
In 0.5000 0.0000 0.0000  2 Rh 2.60
In 0.0000 0.5000 0.0000  2 Rh 2.60
Te 0.5000 0.5000 0.5000  4 Tl 3.68, 8 In 3.71
Rh 0.0000 0.0000 0.0000  4 In 2.60, 2 Tl 2.65

Values from the calculation:
The value obtained for the formation energy without anion corrections is -3.1 kcal/mol of atoms. The density of states at the Fermi level comes out at 0.5879 states/eV per atom. Its total energy is -19.01 eV/cell. The space group is P4/mmm, No. 123.